This record from the Alexandria database describes a relaxed structure of AcDyTeI. The functional is GGA-PBE.

Geometry as CIF:
```
data_AcDyTeI
_cell_length_a 7.8901
_cell_length_b 7.8901
_cell_length_c 7.8901
_cell_angle_alpha 90.00
_cell_angle_beta 90.00
_cell_angle_gamma 90.00
_space_group_name_H-M_alt 'F -4 3 m'
_space_group_IT_number 216
_space_group_name_Hall 'F -4 2 3'
loop_
_atom_site_label
_atom_site_fract_x
_atom_site_fract_y
_atom_site_fract_z
Ac1 0.0000 0.0000 0.0000
Dy1 0.0000 0.0000 0.5000
Te1 0.2500 0.2500 0.7500
I1 0.2500 0.2500 0.2500
```

total moment	0.0	μB per formula unit
raw formation energy	-0.979	eV per atom



This record from the Alexandria database describes a relaxed structure of AcDy2In. The functional is GGA-PBE.

Geometry as CIF:
```
data_AcDy2In
_cell_length_a 5.2650
_cell_length_b 5.2650
_cell_length_c 17.6299
_cell_angle_alpha 90.00
_cell_angle_beta 90.00
_cell_angle_gamma 120.00
_space_group_name_H-M_alt 'R 3 m'
_space_group_IT_number 160
_space_group_name_Hall 'R 3 -2"'
loop_
_atom_site_label
_atom_site_fract_x
_atom_site_fract_y
_atom_site_fract_z
Ac1 0.0000 0.0000 0.0000
Dy1 0.0000 0.0000 0.5502
Dy2 0.0000 0.0000 0.7863
In1 0.0000 0.0000 0.2028
```

offset from the most stable computed form	185	meV/atom
total moment	0.0	μB per formula unit



This record from the Alexandria database describes a relaxed structure of AcDyIn. The functional is GGA-PBE.

Geometry as CIF:
```
data_AcDyIn
_cell_length_a 5.4561
_cell_length_b 5.4561
_cell_length_c 3.9640
_cell_angle_alpha 90.00
_cell_angle_beta 90.00
_cell_angle_gamma 120.00
_space_group_name_H-M_alt 'P 3 m 1'
_space_group_IT_number 156
_space_group_name_Hall 'P 3 -2"'
loop_
_atom_site_label
_atom_site_fract_x
_atom_site_fract_y
_atom_site_fract_z
Ac1 0.0000 0.0000 0.0000
Dy1 0.6667 0.3333 0.4950
In1 0.3333 0.6667 0.5105
```

offset from the most stable computed form	100	meV/atom
total moment	0.0	μB per formula unit



This record from the Alexandria database describes a relaxed structure of Ac3DyIn3. The functional is GGA-PBE.

Geometry as CIF:
```
data_Ac3DyIn3
_cell_length_a 8.7019
_cell_length_b 11.4909
_cell_length_c 10.0944
_cell_angle_alpha 90.00
_cell_angle_beta 94.02
_cell_angle_gamma 90.00
_space_group_name_H-M_alt 'C 1 2/m 1'
_space_group_IT_number 12
_space_group_name_Hall '-C 2y'
loop_
_atom_site_label
_atom_site_fract_x
_atom_site_fract_y
_atom_site_fract_z
Ac1 0.0000 0.1787 0.0000
Ac2 0.0000 0.2458 0.5000
Ac3 0.1044 0.5000 0.8173
Dy1 0.2348 0.5000 0.4589
In1 0.0138 0.0000 0.2764
In2 0.2340 0.3082 0.2365
```

final energy	-107.87	eV per cell
total moment	0.0	μB per formula unit



This record from the Alexandria database describes a relaxed structure of AcDy2In3. The functional is GGA-PBE.

Geometry as CIF:
```
data_AcDy2In3
_cell_length_a 3.8488
_cell_length_b 3.8488
_cell_length_c 11.7656
_cell_angle_alpha 90.00
_cell_angle_beta 90.00
_cell_angle_gamma 90.00
_space_group_name_H-M_alt 'P 4/m m m'
_space_group_IT_number 123
_space_group_name_Hall '-P 4 2'
loop_
_atom_site_label
_atom_site_fract_x
_atom_site_fract_y
_atom_site_fract_z
Ac1 0.0000 0.0000 0.0000
Dy1 0.0000 0.0000 0.3446
In1 0.5000 0.5000 0.1931
In2 0.5000 0.5000 0.5000
```

final energy	-24.21	eV per cell
total moment	0.0	μB per formula unit



This record from the Alexandria database describes a relaxed structure of AcDyIn. The functional is GGA-PBE.

Geometry as CIF:
```
data_AcDyIn
_cell_length_a 3.7852
_cell_length_b 3.7852
_cell_length_c 13.9888
_cell_angle_alpha 90.00
_cell_angle_beta 90.00
_cell_angle_gamma 90.00
_space_group_name_H-M_alt 'I 4 m m'
_space_group_IT_number 107
_space_group_name_Hall 'I 4 -2'
loop_
_atom_site_label
_atom_site_fract_x
_atom_site_fract_y
_atom_site_fract_z
Ac1 0.0000 0.0000 0.0000
Dy1 0.0000 0.0000 0.3033
In1 0.0000 0.0000 0.6719
```

offset from the most stable computed form	55	meV/atom
total moment	0.0	μB per formula unit